No. 1
! TaCuTc | Alexandria via LeMat-Bulk | GGA-PBE | optimized geometry; values from VASP
&SYSTEM
  ibrav = 0, nat = 3, ntyp = 3
/
ATOMIC_SPECIES
Ta 180.95 Ta.upf
Cu 63.55 Cu.upf
Tc 98.00 Tc.upf
ATOMIC_POSITIONS crystal
Ta 0.000 0.000 0.000
Cu 0.667 0.667 0.333
Tc 0.328 0.328 0.672
CELL_PARAMETERS angstrom
0.000 2.159 6.339
1.655 0.000 6.339
1.655 2.159 0.000
! * symmetry: No. 42
! * energy of formation from the pure elements: 34 kJ/mol of formula units
! * DOS(E_F): 1.8 states/eV/f.u.
! * polymorph energy (0 for the lowest one): 126 meV per atom

No. 2
! Tb5Er4Tl | Alexandria via LeMat-Bulk | GGA-PBE | optimized geometry; values from VASP
&SYSTEM
  ibrav = 0, nat = 10, ntyp = 3
/
ATOMIC_SPECIES
Tb 158.93 Tb.upf
Er 167.26 Er.upf
Tl 204.38 Tl.upf
ATOMIC_POSITIONS crystal
Tb 0.000 0.000 0.000
Tb 0.524 0.524 0.627
Tb 0.524 0.896 0.000
Tb 0.896 0.524 0.000
Tb 0.896 0.896 0.373
Er 0.199 0.518 0.319
Er 0.199 0.881 0.681
Er 0.518 0.199 0.319
Er 0.881 0.199 0.681
Tl 0.481 0.481 0.000
CELL_PARAMETERS angstrom
-5.284 5.284 2.902
5.284 -5.284 2.902
5.284 5.284 -2.902
! * symmetry: No. 107
! * energy of formation from the pure elements: 154 kJ/mol of formula units
! * DOS(E_F): 13.7 states/eV/f.u.
! * polymorph energy (0 for the lowest one): 211 meV per atom

No. 3
! HgSe | Alexandria via LeMat-Bulk | GGA-PBE | optimized geometry; values from VASP
&SYSTEM
  ibrav = 0, nat = 2, ntyp = 2
/
ATOMIC_SPECIES
Hg 200.59 Hg.upf
Se 78.96 Se.upf
ATOMIC_POSITIONS crystal
Hg 0.000 0.000 0.000
Se 0.250 0.250 0.250
CELL_PARAMETERS angstrom
0.000 3.133 3.133
3.133 0.000 3.133
3.133 3.133 0.000
! * formation energy (no corrections): -0.21 eV/atom
! * symmetry: No. 216
! * DOS(E_F): 0.2 states/eV/f.u.